Tm2Sc3Pd4 | PBE | optimized geometry

M_tot ... 0.0 μB per formula unit
Relative energy among the computed polymorphs ... 0.00 eV per formula unit
Energy relative to the elements ... -0.827 eV per atom

Unit cell a=7.486 b=7.261 c=7.309 alpha=90.00 beta=90.00 gamma=109.92
Fractional positions:
1 Tm 0.573 0.192 0.326
2 Tm 0.927 0.808 0.826
3 Tm 0.427 0.808 0.674
4 Tm 0.073 0.192 0.174
5 Sc 0.000 0.500 0.500
6 Sc 0.500 0.500 0.000
7 Sc 0.748 0.246 0.839
8 Sc 0.752 0.754 0.339
9 Sc 0.252 0.754 0.161
10 Sc 0.248 0.246 0.661
11 Pd 0.856 0.086 0.544
12 Pd 0.644 0.914 0.044
13 Pd 0.144 0.914 0.456
14 Pd 0.356 0.086 0.956
15 Pd 0.870 0.501 0.136
16 Pd 0.630 0.499 0.636
17 Pd 0.130 0.499 0.864
18 Pd 0.370 0.501 0.364